The following is a GGA-PBE calculation of an optimized crystal structure of TcAsS2Cl, from the Alexandria database. Values from VASP.

Computed properties:
DOS(E_F) in states/eV per atom: 1.01
Crystal system: tetragonal
Polymorph energy (0 for the lowest one) in eV/atom: 0.0000
ρ in g/cm³: 4.5
M_tot in μB per formula unit: 0.00
Raw formation energy in eV per atom: 0.409

Quantum ESPRESSO input file:
```
&SYSTEM
  ibrav = 0, nat = 5, ntyp = 4
/
ATOMIC_SPECIES
Tc 98.00 Tc.upf
S 32.06 S.upf
As 74.92 As.upf
Cl 35.45 Cl.upf
CELL_PARAMETERS angstrom
-0.704 -0.096 -4.545
-0.804 -4.731 0.224
-4.480 0.794 0.677
ATOMIC_POSITIONS crystal
Tc 0.000 0.000 0.000
S 0.500 0.000 0.000
S 0.000 0.000 0.500
As 0.500 0.500 0.500
Cl 0.000 0.500 0.000
```



The following is a GGA-PBE calculation of an optimized crystal structure of ZnAg2F5, from the Alexandria database. Values from VASP.

Computed properties:
DOS(E_F) in states/eV per atom: 0.27
Crystal system: monoclinic
Polymorph energy (0 for the lowest one) in eV/atom: 0.0000
ρ in g/cm³: 5.3
M_tot in μB per formula unit: 0.99
Raw formation energy in eV per atom: -1.521

Quantum ESPRESSO input file:
```
&SYSTEM
  ibrav = 0, nat = 16, ntyp = 3
/
ATOMIC_SPECIES
Zn 65.41 Zn.upf
F 19.00 F.upf
Ag 107.87 Ag.upf
CELL_PARAMETERS angstrom
5.130 0.000 2.212
1.584 7.089 3.382
0.166 0.413 6.670
ATOMIC_POSITIONS crystal
Zn 0.924 0.289 0.829
Zn 0.958 0.789 0.329
F 0.568 0.402 0.021
F 0.183 0.248 0.984
F 0.098 0.518 0.555
F 0.935 0.612 0.123
F 0.830 0.018 0.055
F 0.790 0.274 0.598
F 0.330 0.112 0.623
F 0.009 0.902 0.521
F 0.585 0.748 0.484
F 0.338 0.774 0.098
Ag 0.248 0.173 0.312
Ag 0.267 0.673 0.812
Ag 0.557 0.503 0.344
Ag 0.596 0.003 0.844
```



The following is a GGA-PBE calculation of an optimized crystal structure of KCaGa2Ag, from the Alexandria database. Values from VASP.

Computed properties:
DOS(E_F) in states/eV per atom: 1.08
Energy of formation in meV per atom: 400.1
Crystal system: tetragonal
ρ in g/cm³: 2.9
M_tot in μB per formula unit: 0.00

Quantum ESPRESSO input file:
```
&SYSTEM
  ibrav = 0, nat = 5, ntyp = 4
/
ATOMIC_SPECIES
Ca 40.08 Ca.upf
Ga 69.72 Ga.upf
K 39.10 K.upf
Ag 107.87 Ag.upf
CELL_PARAMETERS angstrom
5.778 0.000 0.000
0.000 5.628 0.000
0.000 0.000 5.778
ATOMIC_POSITIONS crystal
Ca 0.000 0.000 0.000
Ga 0.000 0.000 0.500
Ga 0.500 0.000 0.000
K 0.500 0.500 0.500
Ag 0.000 0.500 0.000
```



The following is a GGA-PBE calculation of an optimized crystal structure of Na3MgBi, from the Alexandria database. Values from VASP.

Computed properties:
DOS(E_F) in states/eV per atom: 0.00
Energy of formation in meV per atom: 30.1
Crystal system: cubic
Polymorph energy (0 for the lowest one) in eV/atom: 0.0765
ρ in g/cm³: 2.3
M_tot in μB per formula unit: 0.00

Quantum ESPRESSO input file:
```
&SYSTEM
  ibrav = 0, nat = 5, ntyp = 3
/
ATOMIC_SPECIES
Na 22.99 Na.upf
Mg 24.30 Mg.upf
Bi 208.98 Bi.upf
CELL_PARAMETERS angstrom
6.031 0.000 0.000
0.000 6.031 0.000
0.000 0.000 6.031
ATOMIC_POSITIONS crystal
Na 0.500 0.000 0.000
Na 0.000 0.000 0.500
Na 0.000 0.500 0.000
Mg 0.500 0.500 0.500
Bi 0.000 0.000 0.000
```